# 1
# LaHfPt, relaxed, DFT PBE-GGA
# Mass density = 11.1 Mg/m³
# ΔE_f = -0.862 eV/atom
# Fermi-level density of states = 5.068 states/eV per cell
# Energy relative to the lowest polymorph listed for this composition = 0 meV per atom
data_LaHfPt
_cell_length_a 4.6967
_cell_length_b 4.6967
_cell_length_c 6.9526
_cell_angle_alpha 90.00
_cell_angle_beta 90.00
_cell_angle_gamma 90.00
_space_group_name_H-M_alt 'P 1'
_space_group_IT_number 1
loop_
_space_group_symop_operation_xyz
'x,y,z'
loop_
_atom_site_label
_atom_site_type_symbol
_atom_site_fract_x
_atom_site_fract_y
_atom_site_fract_z
_atom_site_occupancy
La1 La 0.5000 0.0000 0.1203 1
La2 La 0.0000 0.5000 0.8797 1
Hf1 Hf 0.0000 0.0000 0.5000 1
Hf2 Hf 0.5000 0.5000 0.5000 1
Pt1 Pt 0.0000 0.5000 0.3074 1
Pt2 Pt 0.5000 0.0000 0.6926 1

=====

# 2
# K3LiHf, relaxed, DFT PBE-GGA
# Mass density = 2.0 Mg/m³
# ΔE_f = 1.178 eV/atom
# Fermi-level density of states = 17.954 states/eV per cell
# Energy relative to the lowest polymorph listed for this composition = 0 meV per atom
data_K3LiHf
_cell_length_a 6.3529
_cell_length_b 6.3529
_cell_length_c 6.3529
_cell_angle_alpha 90.00
_cell_angle_beta 90.00
_cell_angle_gamma 90.00
_space_group_name_H-M_alt 'P 1'
_space_group_IT_number 1
loop_
_space_group_symop_operation_xyz
'x,y,z'
loop_
_atom_site_label
_atom_site_type_symbol
_atom_site_fract_x
_atom_site_fract_y
_atom_site_fract_z
_atom_site_occupancy
K1 K 0.0000 0.5000 0.0000 1
K2 K 0.5000 0.0000 0.0000 1
K3 K 0.0000 0.0000 0.5000 1
Li1 Li 0.0000 0.0000 0.0000 1
Hf1 Hf 0.5000 0.5000 0.5000 1

=====

# 3
# ErCdI6, relaxed, DFT PBE-GGA
# Mass density = 5.4 Mg/m³
# Fermi-level density of states = 13.375 states/eV per cell
# Formation energy (no corrections) = -753 meV/atom
data_ErCdI6
_cell_length_a 7.5007
_cell_length_b 7.4967
_cell_length_c 7.9303
_cell_angle_alpha 61.50
_cell_angle_beta 61.75
_cell_angle_gamma 60.03
_space_group_name_H-M_alt 'P 1'
_space_group_IT_number 1
loop_
_space_group_symop_operation_xyz
'x,y,z'
loop_
_atom_site_label
_atom_site_type_symbol
_atom_site_fract_x
_atom_site_fract_y
_atom_site_fract_z
_atom_site_occupancy
I1 I 0.2524 0.9233 0.2498 1
I2 I 0.9228 0.5744 0.2516 1
I3 I 0.4248 0.7476 0.7490 1
I4 I 0.0772 0.4256 0.7484 1
I5 I 0.5752 0.2524 0.2510 1
I6 I 0.7476 0.0767 0.7502 1
Er1 Er 0.5000 0.5000 0.5000 1
Cd1 Cd 0.0000 0.0000 0.0000 1

=====

# 4
# LaDy2Er4, relaxed, DFT PBE-GGA
# Mass density = 8.1 Mg/m³
# ΔE_f = 0.269 eV/atom
# Fermi-level density of states = 20.715 states/eV per cell
# Energy relative to the lowest polymorph listed for this composition = 227 meV per atom
data_LaDy2Er4
_cell_length_a 8.9873
_cell_length_b 8.9872
_cell_length_c 8.9908
_cell_angle_alpha 136.50
_cell_angle_beta 102.07
_cell_angle_gamma 93.74
_space_group_name_H-M_alt 'P 1'
_space_group_IT_number 1
loop_
_space_group_symop_operation_xyz
'x,y,z'
loop_
_atom_site_label
_atom_site_type_symbol
_atom_site_fract_x
_atom_site_fract_y
_atom_site_fract_z
_atom_site_occupancy
La1 La 0.1516 0.1516 0.0000 1
La2 La 0.0984 0.5984 0.5000 1
Dy1 Dy 0.6250 0.3750 0.2500 1
Dy2 Dy 0.6250 0.3750 0.7500 1
Dy3 Dy 0.1250 0.3750 0.7500 1
Dy4 Dy 0.6250 0.8750 0.2500 1
Er1 Er 0.8849 0.6562 0.7715 1
Er2 Er 0.2709 0.0107 0.2611 1
Er3 Er 0.3651 0.0938 0.7286 1
Er4 Er 0.9791 0.7393 0.2389 1
Er5 Er 0.3653 0.6366 0.2715 1
Er6 Er 0.8847 0.1134 0.2285 1
Er7 Er 0.7496 0.0099 0.7389 1
Er8 Er 0.5004 0.7402 0.7611 1

=====

# 5
# Rb2AlTc, relaxed, DFT PBE-GGA
# Mass density = 2.2 Mg/m³
# ΔE_f = 0.980 eV/atom
# Fermi-level density of states = 5.360 states/eV per cell
data_Rb2AlTc
_cell_length_a 13.5144
_cell_length_b 13.5144
_cell_length_c 9.8700
_cell_angle_alpha 46.79
_cell_angle_beta 46.79
_cell_angle_gamma 90.00
_space_group_name_H-M_alt 'P 1'
_space_group_IT_number 1
loop_
_space_group_symop_operation_xyz
'x,y,z'
loop_
_atom_site_label
_atom_site_type_symbol
_atom_site_fract_x
_atom_site_fract_y
_atom_site_fract_z
_atom_site_occupancy
Rb1 Rb 0.3750 0.1277 0.7500 1
Rb2 Rb 0.8750 0.1223 0.7500 1
Rb3 Rb 0.8723 0.1250 0.2500 1
Rb4 Rb 0.8777 0.6250 0.2500 1
Tc1 Tc 0.7500 0.2500 0.5000 1
Tc2 Tc 0.0000 0.0000 0.0000 1
Al1 Al 0.5000 0.5000 0.0000 1
Al2 Al 0.2500 0.7500 0.5000 1

=====

# 6
# Pa2VN5, relaxed, DFT PBE-GGA
# Mass density = 8.6 Mg/m³
# Formation energy (no corrections) = -1364 meV/atom
data_Pa2VN5
_cell_length_a 6.9193
_cell_length_b 7.0416
_cell_length_c 9.3666
_cell_angle_alpha 90.00
_cell_angle_beta 97.66
_cell_angle_gamma 90.00
_space_group_name_H-M_alt 'P 1'
_space_group_IT_number 1
loop_
_space_group_symop_operation_xyz
'x,y,z'
loop_
_atom_site_label
_atom_site_type_symbol
_atom_site_fract_x
_atom_site_fract_y
_atom_site_fract_z
_atom_site_occupancy
Pa1 Pa 0.9776 0.6453 0.3490 1
Pa2 Pa 0.5224 0.1453 0.6510 1
Pa3 Pa 0.2454 0.6178 0.0212 1
Pa4 Pa 0.2546 0.1178 0.9788 1
Pa5 Pa 0.7546 0.3822 0.9788 1
Pa6 Pa 0.0224 0.3547 0.6510 1
Pa7 Pa 0.7454 0.8822 0.0212 1
Pa8 Pa 0.4776 0.8547 0.3490 1
V1 V 0.5270 0.6011 0.7024 1
V2 V 0.0270 0.8989 0.7024 1
V3 V 0.9730 0.1011 0.2976 1
V4 V 0.4730 0.3989 0.2976 1
N1 N 0.2202 0.0812 0.7264 1
N2 N 0.7202 0.4188 0.7264 1
N3 N 0.5116 0.8228 0.5912 1
N4 N 0.5478 0.6435 0.9010 1
N5 N 0.4884 0.1772 0.4088 1
N6 N 0.9884 0.3228 0.4088 1
N7 N 0.0841 0.3806 0.9009 1
N8 N 0.4522 0.3565 0.0990 1
N9 N 0.7798 0.9188 0.2736 1
N10 N 0.0116 0.6772 0.5912 1
N11 N 0.2798 0.5812 0.2736 1
N12 N 0.3451 0.4341 0.6475 1
N13 N 0.4159 0.8806 0.0991 1
N14 N 0.0478 0.8565 0.9010 1
N15 N 0.5841 0.1194 0.9009 1
N16 N 0.9159 0.6194 0.0991 1
N17 N 0.1549 0.9341 0.3525 1
N18 N 0.9522 0.1435 0.0990 1
N19 N 0.6549 0.5659 0.3525 1
N20 N 0.8451 0.0659 0.6475 1